# NdErPbO2

A relaxed structure of NdErPbO2 (PBE, the Alexandria database).

```
data_NdErPbO2
_symmetry_space_group_name_H-M 'I 4 m m'
_symmetry_Int_Tables_number 107
_symmetry_space_group_name_Hall 'I 4 -2'
_cell_length_a 3.897
_cell_length_b 3.897
_cell_length_c 14.361
_cell_angle_alpha 90.00
_cell_angle_beta 90.00
_cell_angle_gamma 90.00
loop_
_atom_site_label
_atom_site_type_symbol
_atom_site_fract_x
_atom_site_fract_y
_atom_site_fract_z
Nd1 Nd 0.000 0.000 0.000
Er1 Er 0.000 0.000 0.339
Pb1 Pb 0.000 0.000 0.671
O1 O 0.000 0.500 0.412
```

Calculated values
ΔE_f (raw)	-2.50	eV per atom
total energy	-7.088	eV/atom
D(E_F)	2.18	states/eV/f.u.
total magnetization	0.00	μB per cell


# KRb2ZnBi2

A relaxed structure of KRb2ZnBi2 (PBE, the Alexandria database).

```
data_KRb2ZnBi2
_symmetry_space_group_name_H-M 'I b a m'
_symmetry_Int_Tables_number 72
_symmetry_space_group_name_Hall '-I 2 2c'
_cell_length_a 9.218
_cell_length_b 15.529
_cell_length_c 7.423
_cell_angle_alpha 90.00
_cell_angle_beta 90.00
_cell_angle_gamma 90.00
loop_
_atom_site_label
_atom_site_type_symbol
_atom_site_fract_x
_atom_site_fract_y
_atom_site_fract_z
K1 K 0.000 0.000 0.250
Rb1 Rb 0.183 0.325 0.000
Zn1 Zn 0.000 0.500 0.250
Bi1 Bi 0.190 0.415 0.500
```

Calculated values
total energy	-2.260	eV/atom
D(E_F)	5.91	states/eV/f.u.
DFT formation energy	-0.25	eV/atom
total magnetization	0.00	μB per cell


# TiMoIrW

A relaxed structure of TiMoIrW (PBE, the Alexandria database).

```
data_TiMoIrW
_symmetry_space_group_name_H-M 'F -4 3 m'
_symmetry_Int_Tables_number 216
_symmetry_space_group_name_Hall 'F -4 2 3'
_cell_length_a 6.279
_cell_length_b 6.279
_cell_length_c 6.279
_cell_angle_alpha 90.00
_cell_angle_beta 90.00
_cell_angle_gamma 90.00
loop_
_atom_site_label
_atom_site_type_symbol
_atom_site_fract_x
_atom_site_fract_y
_atom_site_fract_z
Ti1 Ti 0.000 0.000 0.000
Mo1 Mo 0.250 0.250 0.750
Ir1 Ir 0.250 0.250 0.250
W1 W 0.000 0.000 0.500
```

Calculated values
total energy	-10.456	eV/atom
D(E_F)	3.75	states/eV/f.u.
DFT formation energy	-0.32	eV/atom
total magnetization	0.00	μB per cell


# Nd12NiPb6

A relaxed structure of Nd12NiPb6 (PBE, the Alexandria database).

```
data_Nd12NiPb6
_symmetry_space_group_name_H-M 'R -3'
_symmetry_Int_Tables_number 148
_symmetry_space_group_name_Hall '-R 3'
_cell_length_a 12.4659
_cell_length_b 12.4659
_cell_length_c 14.4189
_cell_angle_alpha 90.00
_cell_angle_beta 90.00
_cell_angle_gamma 120.00
loop_
_atom_site_label
_atom_site_type_symbol
_atom_site_fract_x
_atom_site_fract_y
_atom_site_fract_z
Nd1 Nd 0.0321 0.8409 0.3893
Nd2 Nd 0.0342 0.1907 0.8835
Ni1 Ni 0.0000 0.0000 0.0000
Pb1 Pb 0.0037 0.6128 0.2542
```

Calculated values
total energy	-4.820	eV/atom
D(E_F)	23.80	states/eV/f.u.
DFT formation energy	-0.33	eV/atom
total magnetization	0.00	μB per cell


# SiMoPt2

A relaxed structure of SiMoPt2 (PBE, the Alexandria database).

```
data_SiMoPt2
_symmetry_space_group_name_H-M 'I -4 m 2'
_symmetry_Int_Tables_number 119
_symmetry_space_group_name_Hall 'I -4 -2'
_cell_length_a 4.099
_cell_length_b 4.099
_cell_length_c 7.140
_cell_angle_alpha 90.00
_cell_angle_beta 90.00
_cell_angle_gamma 90.00
loop_
_atom_site_label
_atom_site_type_symbol
_atom_site_fract_x
_atom_site_fract_y
_atom_site_fract_z
Si1 Si 0.000 0.000 0.000
Mo1 Mo 0.000 0.500 0.750
Pt1 Pt 0.000 0.000 0.500
Pt2 Pt 0.000 0.500 0.250
```

Calculated values
ΔE_f (raw)	-0.19	eV per atom
total energy	-7.269	eV/atom
D(E_F)	3.41	states/eV/f.u.
total magnetization	0.00	μB per cell


# NaSr2La

A relaxed structure of NaSr2La (PBE, the Alexandria database).

```
data_NaSr2La
_symmetry_space_group_name_H-M 'P 4/m m m'
_symmetry_Int_Tables_number 123
_symmetry_space_group_name_Hall '-P 4 2'
_cell_length_a 6.493
_cell_length_b 6.493
_cell_length_c 4.271
_cell_angle_alpha 90.00
_cell_angle_beta 90.00
_cell_angle_gamma 90.00
loop_
_atom_site_label
_atom_site_type_symbol
_atom_site_fract_x
_atom_site_fract_y
_atom_site_fract_z
Na1 Na 0.000 0.000 0.000
Sr1 Sr 0.000 0.500 0.500
La1 La 0.500 0.500 0.000
```

Calculated values
energy above the lowest structure with this stoichiometry	65	meV per atom
total energy	-2.242	eV/atom
D(E_F)	4.71	states/eV/f.u.
DFT formation energy	0.16	eV/atom
total magnetization	0.00	μB per cell


- What is the total energy in the first record?
  -7.088 eV/atom


Repeat the fifth record exactly.
# SiMoPt2

A relaxed structure of SiMoPt2 (PBE, the Alexandria database).

```
data_SiMoPt2
_symmetry_space_group_name_H-M 'I -4 m 2'
_symmetry_Int_Tables_number 119
_symmetry_space_group_name_Hall 'I -4 -2'
_cell_length_a 4.099
_cell_length_b 4.099
_cell_length_c 7.140
_cell_angle_alpha 90.00
_cell_angle_beta 90.00
_cell_angle_gamma 90.00
loop_
_atom_site_label
_atom_site_type_symbol
_atom_site_fract_x
_atom_site_fract_y
_atom_site_fract_z
Si1 Si 0.000 0.000 0.000
Mo1 Mo 0.000 0.500 0.750
Pt1 Pt 0.000 0.000 0.500
Pt2 Pt 0.000 0.500 0.250
```

Calculated values
ΔE_f (raw)	-0.19	eV per atom
total energy	-7.269	eV/atom
D(E_F)	3.41	states/eV/f.u.
total magnetization	0.00	μB per cell